Record 1
{"formula": "Tl12Hg5S3", "functional": "GGA-PBE", "state": "optimized geometry", "total_energy_ev_per_cell": -167.41, "formation_energy_uncorrected_ev_per_atom": 0.022, "spacegroup": "Ia-3d", "mass_density_g_cm3": 7.48, "cell": [[-9.239, 9.239, 9.239], [9.239, -9.239, 9.239], [9.239, 9.239, -9.239]], "species": ["Tl", "Tl", "Tl", "Tl", "Tl", "Tl", "Tl", "Tl", "Tl", "Tl", "Tl", "Tl", "Tl", "Tl", "Tl", "Tl", "Tl", "Tl", "Tl", "Tl", "Tl", "Tl", "Tl", "Tl", "Tl", "Tl", "Tl", "Tl", "Tl", "Tl", "Tl", "Tl", "Tl", "Tl", "Tl", "Tl", "Tl", "Tl", "Tl", "Tl", "Tl", "Tl", "Tl", "Tl", "Tl", "Tl", "Tl", "Tl", "Hg", "Hg", "Hg", "Hg", "Hg", "Hg", "Hg", "Hg", "Hg", "Hg", "Hg", "Hg", "Hg", "Hg", "Hg", "Hg", "Hg", "Hg", "Hg", "Hg", "S", "S", "S", "S", "S", "S", "S", "S", "S", "S", "S", "S"], "frac_coords": [[0.048, 0.720, 0.656], [0.048, 0.828, 0.393], [0.065, 0.220, 0.172], [0.065, 0.344, 0.893], [0.107, 0.672, 0.452], [0.107, 0.935, 0.656], [0.156, 0.220, 0.548], [0.156, 0.435, 0.607], [0.172, 0.065, 0.220], [0.172, 0.607, 0.952], [0.220, 0.172, 0.065], [0.220, 0.548, 0.156], [0.280, 0.344, 0.952], [0.280, 0.435, 0.328], [0.328, 0.280, 0.435], [0.328, 0.548, 0.893], [0.344, 0.893, 0.065], [0.344, 0.952, 0.280], [0.393, 0.048, 0.828], [0.393, 0.844, 0.565], [0.435, 0.328, 0.280], [0.435, 0.607, 0.156], [0.452, 0.107, 0.672], [0.452, 0.844, 0.780], [0.548, 0.156, 0.220], [0.548, 0.893, 0.328], [0.565, 0.393, 0.844], [0.565, 0.672, 0.720], [0.607, 0.156, 0.435], [0.607, 0.952, 0.172], [0.656, 0.048, 0.720], [0.656, 0.107, 0.935], [0.672, 0.452, 0.107], [0.672, 0.720, 0.565], [0.720, 0.565, 0.672], [0.720, 0.656, 0.048], [0.780, 0.452, 0.844], [0.780, 0.828, 0.935], [0.828, 0.393, 0.048], [0.828, 0.935, 0.780], [0.844, 0.565, 0.393], [0.844, 0.780, 0.452], [0.893, 0.065, 0.344], [0.893, 0.328, 0.548], [0.935, 0.656, 0.107], [0.935, 0.780, 0.828], [0.952, 0.172, 0.607], [0.952, 0.280, 0.344], [0.000, 0.000, 0.000], [0.000, 0.000, 0.500], [0.000, 0.500, 0.000], [0.000, 0.500, 0.500], [0.125, 0.750, 0.875], [0.125, 0.875, 0.250], [0.250, 0.125, 0.875], [0.250, 0.625, 0.375], [0.375, 0.250, 0.625], [0.375, 0.625, 0.750], [0.500, 0.000, 0.000], [0.500, 0.000, 0.500], [0.500, 0.500, 0.000], [0.500, 0.500, 0.500], [0.625, 0.375, 0.250], [0.625, 0.750, 0.375], [0.750, 0.375, 0.625], [0.750, 0.875, 0.125], [0.875, 0.125, 0.750], [0.875, 0.250, 0.125], [0.125, 0.250, 0.375], [0.125, 0.375, 0.750], [0.250, 0.375, 0.125], [0.250, 0.875, 0.625], [0.375, 0.125, 0.250], [0.375, 0.750, 0.125], [0.625, 0.250, 0.875], [0.625, 0.875, 0.750], [0.750, 0.125, 0.375], [0.750, 0.625, 0.875], [0.875, 0.625, 0.250], [0.875, 0.750, 0.625]]}

Record 2
{"formula": "Tl5Hg12S3", "functional": "GGA-PBE", "state": "optimized geometry", "total_energy_ev_per_cell": -104.68, "formation_energy_uncorrected_ev_per_atom": 0.083, "spacegroup": "Ia-3d", "mass_density_g_cm3": 8.69, "cell": [[-8.766, 8.766, 8.766], [8.766, -8.766, 8.766], [8.766, 8.766, -8.766]], "species": ["Tl", "Tl", "Tl", "Tl", "Tl", "Tl", "Tl", "Tl", "Tl", "Tl", "Tl", "Tl", "Tl", "Tl", "Tl", "Tl", "Tl", "Tl", "Tl", "Tl", "Hg", "Hg", "Hg", "Hg", "Hg", "Hg", "Hg", "Hg", "Hg", "Hg", "Hg", "Hg", "Hg", "Hg", "Hg", "Hg", "Hg", "Hg", "Hg", "Hg", "Hg", "Hg", "Hg", "Hg", "Hg", "Hg", "Hg", "Hg", "Hg", "Hg", "Hg", "Hg", "Hg", "Hg", "Hg", "Hg", "Hg", "Hg", "Hg", "Hg", "Hg", "Hg", "Hg", "Hg", "Hg", "Hg", "Hg", "Hg", "S", "S", "S", "S", "S", "S", "S", "S", "S", "S", "S", "S"], "frac_coords": [[0.000, 0.000, 0.000], [0.000, 0.000, 0.500], [0.000, 0.500, 0.000], [0.000, 0.500, 0.500], [0.125, 0.750, 0.875], [0.125, 0.875, 0.250], [0.250, 0.125, 0.875], [0.250, 0.625, 0.375], [0.375, 0.250, 0.625], [0.375, 0.625, 0.750], [0.500, 0.000, 0.000], [0.500, 0.000, 0.500], [0.500, 0.500, 0.000], [0.500, 0.500, 0.500], [0.625, 0.375, 0.250], [0.625, 0.750, 0.375], [0.750, 0.375, 0.625], [0.750, 0.875, 0.125], [0.875, 0.125, 0.750], [0.875, 0.250, 0.125], [0.052, 0.622, 0.380], [0.052, 0.929, 0.672], [0.071, 0.243, 0.122], [0.071, 0.328, 0.948], [0.120, 0.743, 0.672], [0.120, 0.878, 0.448], [0.122, 0.071, 0.243], [0.122, 0.552, 0.880], [0.172, 0.243, 0.620], [0.172, 0.429, 0.552], [0.243, 0.122, 0.071], [0.243, 0.620, 0.172], [0.257, 0.328, 0.880], [0.257, 0.429, 0.378], [0.328, 0.880, 0.257], [0.328, 0.948, 0.071], [0.378, 0.257, 0.429], [0.378, 0.620, 0.948], [0.380, 0.052, 0.622], [0.380, 0.828, 0.757], [0.429, 0.378, 0.257], [0.429, 0.552, 0.172], [0.448, 0.120, 0.878], [0.448, 0.828, 0.571], [0.552, 0.172, 0.429], [0.552, 0.880, 0.122], [0.571, 0.448, 0.828], [0.571, 0.622, 0.743], [0.620, 0.172, 0.243], [0.620, 0.948, 0.378], [0.622, 0.380, 0.052], [0.622, 0.743, 0.571], [0.672, 0.052, 0.929], [0.672, 0.120, 0.743], [0.743, 0.571, 0.622], [0.743, 0.672, 0.120], [0.757, 0.380, 0.828], [0.757, 0.878, 0.929], [0.828, 0.571, 0.448], [0.828, 0.757, 0.380], [0.878, 0.448, 0.120], [0.878, 0.929, 0.757], [0.880, 0.122, 0.552], [0.880, 0.257, 0.328], [0.929, 0.672, 0.052], [0.929, 0.757, 0.878], [0.948, 0.071, 0.328], [0.948, 0.378, 0.620], [0.125, 0.250, 0.375], [0.125, 0.375, 0.750], [0.250, 0.375, 0.125], [0.250, 0.875, 0.625], [0.375, 0.125, 0.250], [0.375, 0.750, 0.125], [0.625, 0.250, 0.875], [0.625, 0.875, 0.750], [0.750, 0.125, 0.375], [0.750, 0.625, 0.875], [0.875, 0.625, 0.250], [0.875, 0.750, 0.625]]}

Record 3
{"formula": "Tl2HgS2", "functional": "GGA-PBE", "state": "optimized geometry", "total_energy_ev_per_cell": -57.45, "formation_energy_uncorrected_ev_per_atom": -0.214, "polymorph_energy_ev_per_atom": 0.015, "spacegroup": "Pnma", "mass_density_g_cm3": 6.99, "cell": [[8.291, 0.000, 0.000], [0.000, 6.554, 0.000], [0.000, 0.000, 11.780]], "species": ["Tl", "Tl", "Tl", "Tl", "Tl", "Tl", "Tl", "Tl", "Hg", "Hg", "Hg", "Hg", "S", "S", "S", "S", "S", "S", "S", "S"], "frac_coords": [[0.011, 0.250, 0.203], [0.166, 0.250, 0.550], [0.334, 0.750, 0.050], [0.489, 0.750, 0.703], [0.511, 0.250, 0.297], [0.666, 0.250, 0.950], [0.834, 0.750, 0.450], [0.989, 0.750, 0.797], [0.152, 0.250, 0.898], [0.348, 0.750, 0.398], [0.652, 0.250, 0.602], [0.848, 0.750, 0.102], [0.038, 0.750, 0.251], [0.189, 0.750, 0.565], [0.311, 0.250, 0.065], [0.462, 0.250, 0.751], [0.538, 0.750, 0.249], [0.689, 0.750, 0.935], [0.811, 0.250, 0.435], [0.962, 0.250, 0.749]]}